[1]
This record from the Alexandria database describes a relaxed structure of MnSiSb2. The functional is PBE-GGA.

Cell lengths 7.0918, 7.0918, 7.0918 Å; angles 31.76, 31.76, 31.76 degrees
With the nearest neighbours (Å) after each atom.
Fractional coordinates of all 4 atoms:
Sb: 0.0018 0.0018 0.0018  3 Mn 2.78, 3 Si 2.82
Sb: 0.4982 0.4982 0.4982  3 Mn 2.78, 3 Si 2.82
Mn: 0.7500 0.7500 0.7500  6 Sb 2.78
Si: 0.2500 0.2500 0.2500  6 Sb 2.82

The value obtained for the uncorrected formation energy is 0.25 eV/atom. The calculation puts the total energy at -21.9 eV per cell.



[2]
This record from the Alexandria database describes a relaxed structure of Dy6ScTl5. The functional is PBE-GGA.

Cell lengths 6.3530, 10.1458, 7.4857 Å; angles 47.34, 82.19, 78.43 degrees
With the nearest neighbours (Å) after each atom.
Fractional coordinates of all 12 atoms:
Tl: 0.0000 0.2989 0.4022  6 Dy 3.17-3.31, 1 Sc 3.29
Tl: 0.5000 0.8562 0.2876  1 Tl 3.17, 6 Dy 3.25-3.37
Dy: 0.7390 0.4392 0.6538  5 Tl 3.17-3.37, 1 Sc 3.45, 1 Dy 3.55
Tl: 0.5000 0.1438 0.7124  1 Tl 3.17, 6 Dy 3.25-3.37
Dy: 0.2610 0.9070 0.6538  5 Tl 3.17-3.37, 1 Sc 3.45, 1 Dy 3.55
Tl: 0.0000 0.7011 0.5978  6 Dy 3.17-3.31, 1 Sc 3.29
Dy: 0.2230 0.2715 0.0000  5 Tl 3.18-3.35, 1 Sc 3.34
Tl: 0.5000 0.5000 0.0000  6 Dy 3.18
Dy: 0.7770 0.7285 0.0000  5 Tl 3.18-3.35, 1 Sc 3.34
Dy: 0.7390 0.0930 0.3462  5 Tl 3.17-3.37, 1 Sc 3.45, 1 Dy 3.55
Sc: 0.0000 0.0000 0.0000  6 Tl 3.29-3.55, 6 Dy 3.34-3.45
Dy: 0.2610 0.5608 0.3462  5 Tl 3.17-3.37, 1 Sc 3.45, 1 Dy 3.55

Its relative energy among the computed polymorphs is 1.24 eV per formula unit. As for the energy of formation: -3.977 kcal/mol of atoms. The calculation puts the total energy at -47.8 eV per cell.